# GGA-PBE AcNd2Ga4, optimized geometry
# density of states at the Fermi level = 10.4 states/eV per cell
# M_tot = 0.00 μB per atom
# E = -4.291 eV/atom
# SG = Immm (71)
# calculated formation energy = -612 meV per atom
data_AcNd2Ga4
_chemical_formula_sum 'Ac2 Nd4 Ga8'
_cell_length_a 4.2978
_cell_length_b 4.5594
_cell_length_c 18.9382
_cell_angle_alpha 90.00
_cell_angle_beta 90.00
_cell_angle_gamma 90.00
_symmetry_space_group_name_H-M 'P 1'
_symmetry_Int_Tables_number 1
_symmetry_space_group_name_Hall 'P 1'
loop_
_atom_site_label
_atom_site_fract_x
_atom_site_fract_y
_atom_site_fract_z
Ac1 0.0000 0.0000 0.0000
Ac2 0.5000 0.5000 0.5000
Nd1 0.0000 0.5000 0.3155
Nd2 0.0000 0.5000 0.6845
Nd3 0.5000 0.0000 0.1845
Nd4 0.5000 0.0000 0.8155
Ga1 0.0000 0.0000 0.4315
Ga2 0.0000 0.0000 0.5685
Ga3 0.0000 0.5000 0.1463
Ga4 0.0000 0.5000 0.8537
Ga5 0.5000 0.0000 0.3537
Ga6 0.5000 0.0000 0.6463
Ga7 0.5000 0.5000 0.0685
Ga8 0.5000 0.5000 0.9315

=====

# GGA-PBE ScPtS2, optimized geometry
# density of states at the Fermi level = 17.3 states/eV per cell
# excess energy over the best structure of this formula in the dataset = 32 meV/atom
# M_tot = 0.00 μB per atom
# E = -6.057 eV/atom
# SG = I-42d (122)
data_ScPtS2
_chemical_formula_sum 'Sc4 Pt4 S8'
_cell_length_a 4.8673
_cell_length_b 4.8673
_cell_length_c 13.8195
_cell_angle_alpha 90.00
_cell_angle_beta 90.00
_cell_angle_gamma 90.00
_symmetry_space_group_name_H-M 'P 1'
_symmetry_Int_Tables_number 1
_symmetry_space_group_name_Hall 'P 1'
loop_
_atom_site_label
_atom_site_fract_x
_atom_site_fract_y
_atom_site_fract_z
Sc1 0.0000 0.0000 0.0000
Sc2 0.0000 0.5000 0.2500
Sc3 0.5000 0.0000 0.7500
Sc4 0.5000 0.5000 0.5000
Pt1 0.0000 0.0000 0.5000
Pt2 0.0000 0.5000 0.7500
Pt3 0.5000 0.0000 0.2500
Pt4 0.5000 0.5000 0.0000
S1 0.2307 0.2500 0.6250
S2 0.2500 0.7307 0.8750
S3 0.2500 0.7693 0.3750
S4 0.2693 0.2500 0.1250
S5 0.7307 0.7500 0.1250
S6 0.7500 0.2307 0.3750
S7 0.7500 0.2693 0.8750
S8 0.7693 0.7500 0.6250

=====

# GGA-PBE Pm2Er3Ga4, optimized geometry
# density of states at the Fermi level = 16.3 states/eV per cell
# excess energy over the best structure of this formula in the dataset = 0 meV/atom
# M_tot = 0.00 μB per atom
# E = -4.508 eV/atom
# SG = P2_1/c (14)
# calculated formation energy = -586 meV per atom
data_Pm2Er3Ga4
_chemical_formula_sum 'Pm4 Er6 Ga8'
_cell_length_a 7.9298
_cell_length_b 7.9527
_cell_length_c 7.5469
_cell_angle_alpha 90.00
_cell_angle_beta 106.90
_cell_angle_gamma 90.00
_symmetry_space_group_name_H-M 'P 1'
_symmetry_Int_Tables_number 1
_symmetry_space_group_name_Hall 'P 1'
loop_
_atom_site_label
_atom_site_fract_x
_atom_site_fract_y
_atom_site_fract_z
Pm1 0.1917 0.1811 0.0747
Pm2 0.1917 0.3189 0.5747
Pm3 0.8083 0.6811 0.4253
Pm4 0.8083 0.8189 0.9253
Er1 0.2415 0.6753 0.2507
Er2 0.2415 0.8247 0.7507
Er3 0.5000 0.0000 0.5000
Er4 0.5000 0.5000 0.0000
Er5 0.7585 0.1753 0.2493
Er6 0.7585 0.3247 0.7493
Ga1 0.0804 0.5299 0.8669
Ga2 0.0804 0.9701 0.3669
Ga3 0.4940 0.1202 0.8774
Ga4 0.4940 0.3798 0.3774
Ga5 0.5060 0.6202 0.6226
Ga6 0.5060 0.8798 0.1226
Ga7 0.9196 0.0299 0.6331
Ga8 0.9196 0.4701 0.1331

=====

# GGA-PBE AcHgRh, optimized geometry
# density of states at the Fermi level = 8.6 states/eV per cell
# excess energy over the best structure of this formula in the dataset = 209 meV/atom
# M_tot = 0.00 μB per atom
# E = -4.307 eV/atom
# SG = I4/mmm (139)
# calculated formation energy = -386 meV per atom
data_AcHgRh
_chemical_formula_sum 'Ac4 Hg4 Rh4'
_cell_length_a 4.1680
_cell_length_b 4.1680
_cell_length_c 22.2075
_cell_angle_alpha 90.00
_cell_angle_beta 90.00
_cell_angle_gamma 90.00
_symmetry_space_group_name_H-M 'P 1'
_symmetry_Int_Tables_number 1
_symmetry_space_group_name_Hall 'P 1'
loop_
_atom_site_label
_atom_site_fract_x
_atom_site_fract_y
_atom_site_fract_z
Ac1 0.0000 0.0000 0.1766
Ac2 0.0000 0.0000 0.8234
Ac3 0.5000 0.5000 0.3234
Ac4 0.5000 0.5000 0.6766
Hg1 0.0000 0.0000 0.4367
Hg2 0.0000 0.0000 0.5633
Hg3 0.5000 0.5000 0.0633
Hg4 0.5000 0.5000 0.9367
Rh1 0.0000 0.0000 0.3158
Rh2 0.0000 0.0000 0.6842
Rh3 0.5000 0.5000 0.1842
Rh4 0.5000 0.5000 0.8158

=====

# GGA-PBE SrCeEr2, optimized geometry
# density of states at the Fermi level = 19.9 states/eV per cell
# excess energy over the best structure of this formula in the dataset = 106 meV/atom
# M_tot = 0.07 μB per atom
# E = -3.928 eV/atom
# SG = R-3m (166)
# calculated formation energy = 258 meV per atom
data_SrCeEr2
_chemical_formula_sum 'Sr3 Ce3 Er6'
_cell_length_a 3.5545
_cell_length_b 3.5545
_cell_length_c 37.5407
_cell_angle_alpha 90.00
_cell_angle_beta 90.00
_cell_angle_gamma 120.00
_symmetry_space_group_name_H-M 'P 1'
_symmetry_Int_Tables_number 1
_symmetry_space_group_name_Hall 'P 1'
loop_
_atom_site_label
_atom_site_fract_x
_atom_site_fract_y
_atom_site_fract_z
Sr1 0.0000 0.0000 0.0000
Sr2 0.3333 0.6667 0.6667
Sr3 0.6667 0.3333 0.3333
Ce1 0.0000 0.0000 0.5000
Ce2 0.3333 0.6667 0.1667
Ce3 0.6667 0.3333 0.8333
Er1 0.0000 0.0000 0.0938
Er2 0.0000 0.0000 0.9062
Er3 0.3333 0.6667 0.5728
Er4 0.3333 0.6667 0.7605
Er5 0.6667 0.3333 0.2395
Er6 0.6667 0.3333 0.4272

=====

# GGA-PBE LiTmSc4Se8, optimized geometry
# M_tot = 0.00 μB per atom
# E = -5.910 eV/atom
# SG = R3m (160)
data_LiTmSc4Se8
_chemical_formula_sum 'Li1 Tm1 Sc4 Se8'
_cell_length_a 8.0445
_cell_length_b 8.0445
_cell_length_c 8.0445
_cell_angle_alpha 59.30
_cell_angle_beta 59.30
_cell_angle_gamma 59.30
_symmetry_space_group_name_H-M 'P 1'
_symmetry_Int_Tables_number 1
_symmetry_space_group_name_Hall 'P 1'
loop_
_atom_site_label
_atom_site_fract_x
_atom_site_fract_y
_atom_site_fract_z
Li1 0.0000 0.0000 0.0000
Tm1 0.6302 0.6302 0.6302
Sc1 0.1072 0.6323 0.6323
Sc2 0.2531 0.2531 0.2531
Sc3 0.6323 0.1072 0.6323
Sc4 0.6323 0.6323 0.1072
Se1 0.3782 0.3782 0.8564
Se2 0.3782 0.8564 0.3782
Se3 0.3850 0.3850 0.3850
Se4 0.3929 0.8758 0.8758
Se5 0.8564 0.3782 0.3782
Se6 0.8690 0.8690 0.8690
Se7 0.8758 0.3929 0.8758
Se8 0.8758 0.8758 0.3929

=====

# GGA-PBE Th4Ge6Ir7, optimized geometry
# density of states at the Fermi level = 4.9 states/eV per cell
# M_tot = 0.00 μB per atom
# E = -7.850 eV/atom
# SG = Im-3m (229)
# calculated formation energy = -826 meV per atom
data_Th4Ge6Ir7
_chemical_formula_sum 'Th4 Ge6 Ir7'
_cell_length_a 7.4684
_cell_length_b 7.4684
_cell_length_c 7.4684
_cell_angle_alpha 109.47
_cell_angle_beta 109.47
_cell_angle_gamma 109.47
_symmetry_space_group_name_H-M 'P 1'
_symmetry_Int_Tables_number 1
_symmetry_space_group_name_Hall 'P 1'
loop_
_atom_site_label
_atom_site_fract_x
_atom_site_fract_y
_atom_site_fract_z
Th1 0.0000 0.0000 0.5000
Th2 0.0000 0.5000 0.0000
Th3 0.5000 0.0000 0.0000
Th4 0.5000 0.5000 0.5000
Ge1 0.0000 0.3230 0.3230
Ge2 0.0000 0.6770 0.6770
Ge3 0.3230 0.0000 0.3230
Ge4 0.3230 0.3230 0.0000
Ge5 0.6770 0.0000 0.6770
Ge6 0.6770 0.6770 0.0000
Ir1 0.0000 0.0000 0.0000
Ir2 0.2500 0.5000 0.7500
Ir3 0.2500 0.7500 0.5000
Ir4 0.5000 0.2500 0.7500
Ir5 0.5000 0.7500 0.2500
Ir6 0.7500 0.2500 0.5000
Ir7 0.7500 0.5000 0.2500

=====

# GGA-PBE ZrScZnRh, optimized geometry
# density of states at the Fermi level = 3.3 states/eV per cell
# M_tot = 0.00 μB per atom
# E = -6.481 eV/atom
# SG = P4mm (99)
# calculated formation energy = -604 meV per atom
data_ZrScZnRh
_chemical_formula_sum 'Zr1 Sc1 Zn1 Rh1'
_cell_length_a 3.3074
_cell_length_b 3.3074
_cell_length_c 6.6082
_cell_angle_alpha 90.00
_cell_angle_beta 90.00
_cell_angle_gamma 90.00
_symmetry_space_group_name_H-M 'P 1'
_symmetry_Int_Tables_number 1
_symmetry_space_group_name_Hall 'P 1'
loop_
_atom_site_label
_atom_site_fract_x
_atom_site_fract_y
_atom_site_fract_z
Zr1 0.0000 0.0000 0.0000
Sc1 0.0000 0.0000 0.5144
Zn1 0.5000 0.5000 0.2605
Rh1 0.5000 0.5000 0.7572

=====

# GGA-PBE BaV2Rh2, optimized geometry
# density of states at the Fermi level = 7.9 states/eV per cell
# excess energy over the best structure of this formula in the dataset = 0 meV/atom
# M_tot = 0.00 μB per atom
# E = -7.040 eV/atom
# SG = I4/mmm (139)
# calculated formation energy = -68 meV per atom
data_BaV2Rh2
_chemical_formula_sum 'Ba2 V4 Rh4'
_cell_length_a 4.3114
_cell_length_b 4.3114
_cell_length_c 11.1037
_cell_angle_alpha 90.00
_cell_angle_beta 90.00
_cell_angle_gamma 90.00
_symmetry_space_group_name_H-M 'P 1'
_symmetry_Int_Tables_number 1
_symmetry_space_group_name_Hall 'P 1'
loop_
_atom_site_label
_atom_site_fract_x
_atom_site_fract_y
_atom_site_fract_z
Ba1 0.0000 0.0000 0.0000
Ba2 0.5000 0.5000 0.5000
V1 0.0000 0.5000 0.2500
V2 0.0000 0.5000 0.7500
V3 0.5000 0.0000 0.2500
V4 0.5000 0.0000 0.7500
Rh1 0.0000 0.0000 0.3567
Rh2 0.0000 0.0000 0.6433
Rh3 0.5000 0.5000 0.1433
Rh4 0.5000 0.5000 0.8567

=====

# GGA-PBE Sr2Tc2Br, optimized geometry
# density of states at the Fermi level = 3.5 states/eV per cell
# excess energy over the best structure of this formula in the dataset = 0 meV/atom
# M_tot = 0.00 μB per atom
# E = -5.363 eV/atom
# SG = I4/mmm (139)
data_Sr2Tc2Br
_chemical_formula_sum 'Sr4 Tc4 Br2'
_cell_length_a 3.6680
_cell_length_b 3.6680
_cell_length_c 19.2194
_cell_angle_alpha 90.00
_cell_angle_beta 90.00
_cell_angle_gamma 90.00
_symmetry_space_group_name_H-M 'P 1'
_symmetry_Int_Tables_number 1
_symmetry_space_group_name_Hall 'P 1'
loop_
_atom_site_label
_atom_site_fract_x
_atom_site_fract_y
_atom_site_fract_z
Sr1 0.0000 0.0000 0.1170
Sr2 0.0000 0.0000 0.8830
Sr3 0.5000 0.5000 0.3830
Sr4 0.5000 0.5000 0.6170
Tc1 0.0000 0.5000 0.2500
Tc2 0.0000 0.5000 0.7500
Tc3 0.5000 0.0000 0.2500
Tc4 0.5000 0.0000 0.7500
Br1 0.0000 0.0000 0.5000
Br2 0.5000 0.5000 0.0000

=====

# GGA-PBE SO, optimized geometry
# excess energy over the best structure of this formula in the dataset = 60 meV/atom
# M_tot = 0.00 μB per atom
# E = -5.044 eV/atom
# SG = C2/m (12)
data_SO
_chemical_formula_sum 'S4 O4'
_cell_length_a 8.8115
_cell_length_b 3.2949
_cell_length_c 5.2583
_cell_angle_alpha 90.00
_cell_angle_beta 105.24
_cell_angle_gamma 90.00
_symmetry_space_group_name_H-M 'P 1'
_symmetry_Int_Tables_number 1
_symmetry_space_group_name_Hall 'P 1'
loop_
_atom_site_label
_atom_site_fract_x
_atom_site_fract_y
_atom_site_fract_z
S1 0.2304 0.0000 0.3293
S2 0.2696 0.5000 0.6707
S3 0.7304 0.5000 0.3293
S4 0.7696 0.0000 0.6707
O1 0.1264 0.5000 0.7694
O2 0.3736 0.0000 0.2306
O3 0.6264 0.0000 0.7694
O4 0.8736 0.5000 0.2306

=====

# GGA-PBE Mn7FeGe4, optimized geometry
# density of states at the Fermi level = 10.5 states/eV per cell
# M_tot = 0.95 μB per atom
# E = -7.577 eV/atom
# SG = P-1 (2)
# calculated formation energy = 16 meV per atom
data_Mn7FeGe4
_chemical_formula_sum 'Mn7 Fe1 Ge4'
_cell_length_a 4.7012
_cell_length_b 5.1622
_cell_length_c 6.3527
_cell_angle_alpha 89.61
_cell_angle_beta 86.31
_cell_angle_gamma 87.94
_symmetry_space_group_name_H-M 'P 1'
_symmetry_Int_Tables_number 1
_symmetry_space_group_name_Hall 'P 1'
loop_
_atom_site_label
_atom_site_fract_x
_atom_site_fract_y
_atom_site_fract_z
Mn1 0.0000 0.0000 0.0000
Mn2 0.1483 0.6846 0.3566
Mn3 0.3185 0.0014 0.6721
Mn4 0.4985 0.7560 0.0013
Mn5 0.5015 0.2440 0.9987
Mn6 0.6815 0.9986 0.3279
Mn7 0.8517 0.3154 0.6434
Fe1 0.0000 0.5000 0.0000
Ge1 0.1825 0.1752 0.3221
Ge2 0.3431 0.4963 0.6914
Ge3 0.6569 0.5037 0.3086
Ge4 0.8175 0.8248 0.6779